KAc2AuO5 | Alexandria via LeMat-Bulk | PBE-GGA | relaxed; theoretical density = 7.755 Mg/m³; density of states at the Fermi level = 0.61 states/eV/f.u.; formation energy (no corrections) = -1.981 eV per atom; M_tot = 4.05 μB per cell; space group = I4/mcm (140)
1.0
-3.6149 3.6149 6.3092
3.6149 -3.6149 6.3092
3.6149 3.6149 -6.3092
K Ac Au O
2 4 2 10
Direct
0.2500 0.2500 0.0000
0.7500 0.7500 0.0000
0.1788 0.6788 0.8577
0.3212 0.1788 0.5000
0.6788 0.8212 0.5000
0.8212 0.3212 0.1423
0.2500 0.7500 0.5000
0.7500 0.2500 0.5000
0.0000 0.0000 0.0000
0.0118 0.2507 0.5000
0.2493 0.4882 0.5000
0.2507 0.7507 0.2390
0.4882 0.9882 0.2390
0.5000 0.5000 0.0000
0.5118 0.0118 0.7610
0.7493 0.2493 0.7610
0.7507 0.5118 0.5000
0.9882 0.7493 0.5000